No. 1
A plane-wave DFT calculation with PBE was carried out for a relaxed structure of BeNi2Os.

Summary:
V in Å³/atom: 10.9
SG: No. 99
DFT formation energy in eV/atom: -0.06
N(E_F) in states/eV per cell: 3.56
Final energy in eV per atom: -6.69

Structure (extended XYZ):
```
4
Lattice="2.6572 0.0000 0.0000 0.0000 2.6572 0.0000 0.0000 0.0000 6.1976" Properties=species:S:1:pos:R:3 pbc="T T T"
Be 0.0000 0.0000 0.0000
Ni 0.0000 0.0000 2.8960
Ni 1.3286 1.3286 1.1923
Os 1.3286 1.3286 4.6396
```

No. 2
A plane-wave DFT calculation with PBE was carried out for a relaxed structure of TiNi3As.

Summary:
Energy relative to the lowest polymorph listed for this composition in meV per atom: 0
V in Å³/atom: 16.0
SG: No. 119
DFT formation energy in eV/atom: 0.03
N(E_F) in states/eV per cell: 4.60
Final energy in eV per atom: -5.95

Structure (extended XYZ):
```
10
Lattice="-2.2464 2.2464 7.9331 2.2464 -2.2464 7.9331 2.2464 2.2464 -7.9331" Properties=species:S:1:pos:R:3 pbc="T T T"
Ti 0.0000 0.0000 2.5101
Ti 0.0000 0.0000 13.3561
Ni 1.1443 2.2464 -1.9767
Ni 1.1021 0.0000 5.9564
Ni 2.2464 1.1443 1.9767
Ni 0.0000 2.2464 1.1091
Ni 0.0000 1.1021 9.9098
Ni 0.0000 2.2464 6.8240
As 2.2464 0.0000 3.9666
As 0.0000 0.0000 7.9331
```

No. 3
A plane-wave DFT calculation with PBE was carried out for a relaxed structure of Er2ScBi.

Summary:
Energy relative to the lowest polymorph listed for this composition in meV per atom: 179
V in Å³/atom: 28.8
SG: No. 160
DFT formation energy in eV/atom: -0.18
N(E_F) in states/eV per cell: 4.69
Final energy in eV per atom: -5.01

Structure (extended XYZ):
```
4
Lattice="1.7822 1.0289 10.4742 -1.7822 1.0289 10.4742 0.0000 -2.0579 10.4742" Properties=species:S:1:pos:R:3 pbc="T T T"
Er 0.0000 0.0000 0.0000
Er 0.0000 0.0000 5.1966
Sc 0.0000 0.0000 13.0601
Bi 0.0000 0.0000 18.3021
```

No. 4
A plane-wave DFT calculation with PBE was carried out for a relaxed structure of KPa3Si4N12.

Summary:
V in Å³/atom: 15.9
SG: No. 155
Formation energy from raw total energies in eV/atom: -0.61
N(E_F) in states/eV per cell: 9.42
Final energy in eV per atom: -8.17

Structure (extended XYZ):
```
20
Lattice="5.6224 3.2461 2.8984 -5.6224 3.2461 2.8984 0.0000 -6.4921 2.8984" Properties=species:S:1:pos:R:3 pbc="T T T"
K 0.0000 0.0000 0.0000
Pa -3.0807 -1.1561 2.8984
Pa 2.5416 -2.0899 2.8984
Pa 0.5391 3.2461 2.8984
Si -2.5488 -4.4147 4.3476
Si 0.0000 0.0000 4.3476
Si -2.5488 4.4147 4.3476
Si 5.0977 0.0000 4.3476
N -3.3333 -2.9649 4.1159
N -4.4711 0.0000 4.3476
N -0.9010 -4.3692 4.5794
N -1.6863 0.0000 4.3476
N -3.3333 2.9649 4.5794
N 2.2355 -3.8720 4.3476
N 0.8431 -1.4604 4.3476
N -0.9010 4.3692 4.1159
N 0.8431 1.4604 4.3476
N 4.2343 -1.4043 4.1159
N 2.2355 3.8720 4.3476
N 4.2343 1.4043 4.5794
```

No. 5
A plane-wave DFT calculation with PBE was carried out for a relaxed structure of Zn2Au.

Summary:
V in Å³/atom: 15.9
SG: No. 12
DFT formation energy in eV/atom: -0.13
N(E_F) in states/eV per cell: 1.58
Final energy in eV per atom: -2.07

Structure (extended XYZ):
```
6
Lattice="5.7567 -1.5190 0.0000 5.7567 1.5190 0.0000 -1.5161 0.0000 5.4606" Properties=species:S:1:pos:R:3 pbc="T T T"
Zn -0.3468 0.0000 1.2590
Zn 10.3442 0.0000 4.2016
Zn 2.4314 0.0000 4.9398
Zn 7.5660 0.0000 0.5207
Au 3.3564 0.0000 2.2304
Au 6.6410 0.0000 3.2301
```

No. 6
A plane-wave DFT calculation with PBE was carried out for a relaxed structure of MnNbOs2.

Summary:
V in Å³/atom: 16.7
SG: No. 122
DFT formation energy in eV/atom: 0.65
N(E_F) in states/eV per cell: 8.63
Final energy in eV per atom: -9.77

Structure (extended XYZ):
```
8
Lattice="-1.9400 1.9400 8.8536 1.9400 -1.9400 8.8536 1.9400 1.9400 -8.8536" Properties=species:S:1:pos:R:3 pbc="T T T"
Mn 0.0000 0.0000 0.0000
Mn 0.0000 1.9400 4.4268
Nb 1.9400 0.0000 4.4268
Nb 0.0000 0.0000 8.8536
Os 2.9100 0.7638 -2.2134
Os 0.7638 0.9700 2.2134
Os -0.9700 1.1762 6.6402
Os 1.1762 0.9700 11.0669
```

No. 7
A plane-wave DFT calculation with PBE was carried out for a relaxed structure of Li2CoAg.

Summary:
V in Å³/atom: 14.3
SG: No. 119
DFT formation energy in eV/atom: 0.19
N(E_F) in states/eV per cell: 4.97
Final energy in eV per atom: -3.25

Structure (extended XYZ):
```
4
Lattice="-1.9792 1.9792 3.6495 1.9792 -1.9792 3.6495 1.9792 1.9792 -3.6495" Properties=species:S:1:pos:R:3 pbc="T T T"
Li 0.0000 0.0000 0.0000
Li 0.0000 1.9792 1.8247
Co 0.0000 0.0000 3.6495
Ag 1.9792 0.0000 1.8247
```

No. 8
A plane-wave DFT calculation with PBE was carried out for a relaxed structure of Cs2CdTe.

Summary:
Energy relative to the lowest polymorph listed for this composition in meV per atom: 251
V in Å³/atom: 70.4
SG: No. 122
Formation energy from raw total energies in eV/atom: -0.38
N(E_F) in states/eV per cell: 0.00
Final energy in eV per atom: -1.82

Structure (extended XYZ):
```
8
Lattice="-3.5397 3.5397 11.2383 3.5397 -3.5397 11.2383 3.5397 3.5397 -11.2383" Properties=species:S:1:pos:R:3 pbc="T T T"
Cs 5.3095 1.5288 -2.8096
Cs 1.5288 1.7698 2.8096
Cs -1.7698 2.0109 8.4287
Cs 2.0109 1.7698 14.0479
Cd 3.5397 0.0000 5.6192
Cd 0.0000 0.0000 11.2383
Te 0.0000 0.0000 0.0000
Te 0.0000 3.5397 5.6192
```

No. 9
A plane-wave DFT calculation with PBE was carried out for a relaxed structure of Tc2HgSe.

Summary:
Energy relative to the lowest polymorph listed for this composition in meV per atom: 404
V in Å³/atom: 17.1
SG: No. 10
Formation energy from raw total energies in eV/atom: 0.57
N(E_F) in states/eV per cell: 3.63
Final energy in eV per atom: -5.56

Structure (extended XYZ):
```
4
Lattice="3.0946 0.0000 0.0000 0.0000 3.8558 0.0000 -1.4972 0.0000 5.7312" Properties=species:S:1:pos:R:3 pbc="T T T"
Tc -0.0037 0.0000 1.6341
Tc 1.6010 0.0000 4.0971
Hg 1.5473 1.9279 0.0000
Se -0.7486 1.9279 2.8656
```

No. 10
A plane-wave DFT calculation with PBE was carried out for a relaxed structure of CaSmTm2In4.

Summary:
V in Å³/atom: 27.0
SG: No. 166
DFT formation energy in eV/atom: -0.44
N(E_F) in states/eV per cell: 4.81
Final energy in eV per atom: -3.77

Structure (extended XYZ):
```
8
Lattice="2.6668 1.5397 8.7657 -2.6668 1.5397 8.7657 0.0000 -3.0794 8.7657" Properties=species:S:1:pos:R:3 pbc="T T T"
Ca 0.0000 0.0000 0.0000
Sm 0.0000 0.0000 13.1486
Tm 0.0000 0.0000 6.6100
Tm 0.0000 0.0000 19.6872
In 0.0000 0.0000 3.2866
In 0.0000 0.0000 9.8606
In 0.0000 0.0000 16.4366
In 0.0000 0.0000 23.0106
```

No. 11
A plane-wave DFT calculation with PBE was carried out for a relaxed structure of NaSbBr2.

Summary:
Energy relative to the lowest polymorph listed for this composition in meV per atom: 0
V in Å³/atom: 30.1
SG: No. 166
Formation energy from raw total energies in eV/atom: -0.75
N(E_F) in states/eV per cell: 0.74
Final energy in eV per atom: -2.95

Structure (extended XYZ):
```
4
Lattice="1.9394 1.1197 9.2394 -1.9394 1.1197 9.2394 0.0000 -2.2395 9.2394" Properties=species:S:1:pos:R:3 pbc="T T T"
Na 0.0000 0.0000 0.0000
Sb 0.0000 0.0000 13.8591
Br 0.0000 0.0000 11.0695
Br 0.0000 0.0000 16.6487
```

No. 12
A plane-wave DFT calculation with PBE was carried out for a relaxed structure of Pu2Tl3Pd8.

Summary:
V in Å³/atom: 22.0
SG: No. 12
DFT formation energy in eV/atom: -0.14
N(E_F) in states/eV per cell: 30.31
Final energy in eV per atom: -6.09

Structure (extended XYZ):
```
13
Lattice="7.4574 -2.8538 0.0000 7.4574 2.8538 0.0000 -1.1384 0.0000 6.7178" Properties=species:S:1:pos:R:3 pbc="T T T"
Pu 3.3522 0.0000 1.9776
Pu 10.4242 0.0000 4.7402
Tl 6.8882 1.4167 3.3589
Tl 7.4574 0.0000 0.0000
Tl 6.8882 -1.4167 3.3589
Pd 5.1380 1.4317 0.2408
Pd 1.7084 0.0000 4.2003
Pd 4.5213 0.0000 4.5324
Pd 8.6384 1.4317 6.4770
Pd 5.1380 -1.4317 0.2408
Pd 9.2551 0.0000 2.1854
Pd 12.0680 0.0000 2.5175
Pd 8.6384 -1.4317 6.4770
```